[1]
# ReMoPt6, relaxed, DFT PBE
# - Energy relative to the elements: -0.093 eV per atom
# - Spin magnetization: 0.0 μB/f.u.
data_ReMoPt6
_symmetry_space_group_name_H-M 'P 1'
_symmetry_Int_Tables_number 1
_cell_length_a 5.5602
_cell_length_b 5.5602
_cell_length_c 4.5586
_cell_angle_alpha 90.00
_cell_angle_beta 90.00
_cell_angle_gamma 120.00
loop_
_symmetry_equiv_pos_as_xyz
'x,y,z'
loop_
_atom_site_label
_atom_site_fract_x
_atom_site_fract_y
_atom_site_fract_z
Mo1 0.0000 0.0000 0.0000
Pt1 0.0113 0.5057 0.0000
Pt2 0.4943 0.5057 0.0000
Pt3 0.4943 0.9887 0.0000
Pt4 0.3247 0.1623 0.5000
Pt5 0.8377 0.1623 0.5000
Pt6 0.8377 0.6753 0.5000
Re1 0.3333 0.6667 0.5000

[2]
# Si2MoPt, relaxed, DFT PBE
# - Spin magnetization: 0.0 μB/f.u.
# - Final energy: -6.741 eV/atom
data_Si2MoPt
_symmetry_space_group_name_H-M 'P 1'
_symmetry_Int_Tables_number 1
_cell_length_a 4.3937
_cell_length_b 4.3937
_cell_length_c 4.3937
_cell_angle_alpha 60.00
_cell_angle_beta 60.00
_cell_angle_gamma 60.00
loop_
_symmetry_equiv_pos_as_xyz
'x,y,z'
loop_
_atom_site_label
_atom_site_fract_x
_atom_site_fract_y
_atom_site_fract_z
Mo1 0.5000 0.5000 0.5000
Pt1 0.7500 0.7500 0.7500
Si1 0.0000 0.0000 0.0000
Si2 0.2500 0.2500 0.2500

[3]
# Si4MoPt3, relaxed, DFT PBE
# - Spin magnetization: 0.0 μB/f.u.
# - Final energy: -6.984 eV/atom
data_Si4MoPt3
_symmetry_space_group_name_H-M 'P 1'
_symmetry_Int_Tables_number 1
_cell_length_a 5.5658
_cell_length_b 3.5178
_cell_length_c 24.5701
_cell_angle_alpha 90.00
_cell_angle_beta 90.00
_cell_angle_gamma 90.00
loop_
_symmetry_equiv_pos_as_xyz
'x,y,z'
loop_
_atom_site_label
_atom_site_fract_x
_atom_site_fract_y
_atom_site_fract_z
Mo1 0.9945 0.2500 0.2101
Mo2 0.4945 0.2500 0.2899
Mo3 0.5055 0.7500 0.7101
Mo4 0.0055 0.7500 0.7899
Pt1 0.9969 0.7500 0.0484
Pt2 0.4973 0.7500 0.0745
Pt3 0.4953 0.2500 0.1698
Pt4 0.9953 0.2500 0.3302
Pt5 0.9973 0.7500 0.4255
Pt6 0.4969 0.7500 0.4516
Pt7 0.5031 0.2500 0.5484
Pt8 0.0027 0.2500 0.5745
Pt9 0.0047 0.7500 0.6698
Pt10 0.5047 0.7500 0.8302
Pt11 0.5027 0.2500 0.9255
Pt12 0.0031 0.2500 0.9516
Si1 0.3205 0.2500 0.0195
Si2 0.8392 0.2500 0.1098
Si3 0.1790 0.7500 0.1460
Si4 0.6680 0.7500 0.2259
Si5 0.1680 0.7500 0.2741
Si6 0.6790 0.7500 0.3540
Si7 0.3392 0.2500 0.3902
Si8 0.8205 0.2500 0.4805
Si9 0.1795 0.7500 0.5195
Si10 0.6608 0.7500 0.6098
Si11 0.3210 0.2500 0.6460
Si12 0.8320 0.2500 0.7259
Si13 0.3320 0.2500 0.7741
Si14 0.8211 0.2500 0.8540
Si15 0.1608 0.7500 0.8902
Si16 0.6795 0.7500 0.9805

[4]
# SnMoPt, relaxed, DFT PBE
# - Polymorph energy (0 for the lowest one): 0 meV/atom
# - Spin magnetization: 2.0 μB/f.u.
data_SnMoPt
_symmetry_space_group_name_H-M 'P 1'
_symmetry_Int_Tables_number 1
_cell_length_a 4.4272
_cell_length_b 4.4272
_cell_length_c 4.4272
_cell_angle_alpha 60.00
_cell_angle_beta 60.00
_cell_angle_gamma 60.00
loop_
_symmetry_equiv_pos_as_xyz
'x,y,z'
loop_
_atom_site_label
_atom_site_fract_x
_atom_site_fract_y
_atom_site_fract_z
Mo1 0.2500 0.2500 0.2500
Pt1 0.0000 0.0000 0.0000
Sn1 0.7500 0.7500 0.7500

[5]
# Sn2Mo3Pt2, relaxed, DFT PBE
# - Spin magnetization: 0.0 μB/f.u.
# - Final energy: -7.430 eV/atom
data_Sn2Mo3Pt2
_symmetry_space_group_name_H-M 'P 1'
_symmetry_Int_Tables_number 1
_cell_length_a 4.4591
_cell_length_b 4.4591
_cell_length_c 15.8152
_cell_angle_alpha 90.00
_cell_angle_beta 90.00
_cell_angle_gamma 120.00
loop_
_symmetry_equiv_pos_as_xyz
'x,y,z'
loop_
_atom_site_label
_atom_site_fract_x
_atom_site_fract_y
_atom_site_fract_z
Mo1 0.0000 0.0000 0.1719
Mo2 0.6667 0.3333 0.2500
Mo3 0.0000 0.0000 0.3281
Mo4 0.0000 0.0000 0.6719
Mo5 0.3333 0.6667 0.7500
Mo6 0.0000 0.0000 0.8281
Pt1 0.0000 0.0000 0.0000
Pt2 0.3333 0.6667 0.2500
Pt3 0.0000 0.0000 0.5000
Pt4 0.6667 0.3333 0.7500
Sn1 0.3333 0.6667 0.0748
Sn2 0.3333 0.6667 0.4252
Sn3 0.6667 0.3333 0.5748
Sn4 0.6667 0.3333 0.9252

[6]
# SnMo2Pt, relaxed, DFT PBE
# - Spin magnetization: 1.5 μB/f.u.
# - Final energy: -7.746 eV/atom
data_SnMo2Pt
_symmetry_space_group_name_H-M 'P 1'
_symmetry_Int_Tables_number 1
_cell_length_a 4.5869
_cell_length_b 4.5869
_cell_length_c 4.5869
_cell_angle_alpha 60.00
_cell_angle_beta 60.00
_cell_angle_gamma 60.00
loop_
_symmetry_equiv_pos_as_xyz
'x,y,z'
loop_
_atom_site_label
_atom_site_fract_x
_atom_site_fract_y
_atom_site_fract_z
Mo1 0.0000 0.0000 0.0000
Mo2 0.7500 0.7500 0.7500
Pt1 0.2500 0.2500 0.2500
Sn1 0.5000 0.5000 0.5000

[7]
# Sr2Mo3Pt2, relaxed, DFT PBE
# - Spin magnetization: 0.1 μB/f.u.
# - Final energy: -6.712 eV/atom
data_Sr2Mo3Pt2
_symmetry_space_group_name_H-M 'P 1'
_symmetry_Int_Tables_number 1
_cell_length_a 10.0048
_cell_length_b 10.0048
_cell_length_c 10.0048
_cell_angle_alpha 25.15
_cell_angle_beta 25.15
_cell_angle_gamma 25.15
loop_
_symmetry_equiv_pos_as_xyz
'x,y,z'
loop_
_atom_site_label
_atom_site_fract_x
_atom_site_fract_y
_atom_site_fract_z
Mo1 0.3298 0.3298 0.3298
Mo2 0.6310 0.6310 0.6310
Mo3 0.9405 0.9405 0.9405
Pt1 0.0278 0.0278 0.0278
Pt2 0.4841 0.4841 0.4841
Sr1 0.2023 0.2023 0.2023
Sr2 0.7594 0.7594 0.7594

[8]
# TbMoPt, relaxed, DFT PBE
# - Energy relative to the elements: 0.133 eV per atom
# - Spin magnetization: 0.9 μB/f.u.
data_TbMoPt
_symmetry_space_group_name_H-M 'P 1'
_symmetry_Int_Tables_number 1
_cell_length_a 4.5761
_cell_length_b 4.5761
_cell_length_c 4.5761
_cell_angle_alpha 60.00
_cell_angle_beta 60.00
_cell_angle_gamma 60.00
loop_
_symmetry_equiv_pos_as_xyz
'x,y,z'
loop_
_atom_site_label
_atom_site_fract_x
_atom_site_fract_y
_atom_site_fract_z
Mo1 0.2500 0.2500 0.2500
Pt1 0.0000 0.0000 0.0000
Tb1 0.7500 0.7500 0.7500

[9]
# Te2MoPt, relaxed, DFT PBE
# - Spin magnetization: 1.4 μB/f.u.
# - Final energy: -5.100 eV/atom
data_Te2MoPt
_symmetry_space_group_name_H-M 'P 1'
_symmetry_Int_Tables_number 1
_cell_length_a 4.8687
_cell_length_b 4.8687
_cell_length_c 4.8687
_cell_angle_alpha 60.00
_cell_angle_beta 60.00
_cell_angle_gamma 60.00
loop_
_symmetry_equiv_pos_as_xyz
'x,y,z'
loop_
_atom_site_label
_atom_site_fract_x
_atom_site_fract_y
_atom_site_fract_z
Mo1 0.5000 0.5000 0.5000
Pt1 0.7500 0.7500 0.7500
Te1 0.0000 0.0000 0.0000
Te2 0.2500 0.2500 0.2500

[10]
# TlMoPt2, relaxed, DFT PBE
# - Spin magnetization: 0.2 μB/f.u.
# - Final energy: -6.053 eV/atom
data_TlMoPt2
_symmetry_space_group_name_H-M 'P 1'
_symmetry_Int_Tables_number 1
_cell_length_a 4.5948
_cell_length_b 4.5948
_cell_length_c 4.5948
_cell_angle_alpha 60.00
_cell_angle_beta 60.00
_cell_angle_gamma 60.00
loop_
_symmetry_equiv_pos_as_xyz
'x,y,z'
loop_
_atom_site_label
_atom_site_fract_x
_atom_site_fract_y
_atom_site_fract_z
Mo1 0.2500 0.2500 0.2500
Pt1 0.0000 0.0000 0.0000
Pt2 0.7500 0.7500 0.7500
Tl1 0.5000 0.5000 0.5000

[11]
# ZnMoPt6, relaxed, DFT PBE
# - Energy relative to the elements: -0.333 eV per atom
# - Spin magnetization: 0.4 μB/f.u.
data_ZnMoPt6
_symmetry_space_group_name_H-M 'P 1'
_symmetry_Int_Tables_number 1
_cell_length_a 3.9566
_cell_length_b 3.9566
_cell_length_c 7.8622
_cell_angle_alpha 90.00
_cell_angle_beta 90.00
_cell_angle_gamma 90.00
loop_
_symmetry_equiv_pos_as_xyz
'x,y,z'
loop_
_atom_site_label
_atom_site_fract_x
_atom_site_fract_y
_atom_site_fract_z
Mo1 0.0000 0.0000 0.5000
Pt1 0.5000 0.5000 0.0000
Pt2 0.5000 0.0000 0.2545
Pt3 0.0000 0.5000 0.2545
Pt4 0.5000 0.5000 0.5000
Pt5 0.5000 0.0000 0.7455
Pt6 0.0000 0.5000 0.7455
Zn1 0.0000 0.0000 0.0000

[12]
# PuScMo, relaxed, DFT PBE
# - Polymorph energy (0 for the lowest one): 0 meV/atom
# - Energy relative to the elements: 0.496 eV per atom
# - Spin magnetization: 4.8 μB/f.u.
data_PuScMo
_symmetry_space_group_name_H-M 'P 1'
_symmetry_Int_Tables_number 1
_cell_length_a 4.5349
_cell_length_b 4.5349
_cell_length_c 4.5349
_cell_angle_alpha 60.00
_cell_angle_beta 60.00
_cell_angle_gamma 60.00
loop_
_symmetry_equiv_pos_as_xyz
'x,y,z'
loop_
_atom_site_label
_atom_site_fract_x
_atom_site_fract_y
_atom_site_fract_z
Mo1 0.0000 0.0000 0.0000
Pu1 0.2500 0.2500 0.2500
Sc1 0.7500 0.7500 0.7500

[13]
# PuMo6Se8, relaxed, DFT PBE
# - Spin magnetization: 4.9 μB/f.u.
# - Final energy: -7.807 eV/atom
data_PuMo6Se8
_symmetry_space_group_name_H-M 'P 1'
_symmetry_Int_Tables_number 1
_cell_length_a 6.7769
_cell_length_b 6.7769
_cell_length_c 6.7769
_cell_angle_alpha 88.63
_cell_angle_beta 88.63
_cell_angle_gamma 88.63
loop_
_symmetry_equiv_pos_as_xyz
'x,y,z'
loop_
_atom_site_label
_atom_site_fract_x
_atom_site_fract_y
_atom_site_fract_z
Mo1 0.5604 0.4243 0.2335
Mo2 0.2335 0.5604 0.4243
Mo3 0.5757 0.7665 0.4396
Mo4 0.4243 0.2335 0.5604
Mo5 0.7665 0.4396 0.5757
Mo6 0.4396 0.5757 0.7665
Pu1 0.0000 0.0000 0.0000
Se1 0.3726 0.7581 0.1219
Se2 0.2401 0.2401 0.2401
Se3 0.8781 0.6274 0.2419
Se4 0.7581 0.1219 0.3726
Se5 0.2419 0.8781 0.6274
Se6 0.1219 0.3726 0.7581
Se7 0.7599 0.7599 0.7599
Se8 0.6274 0.2419 0.8781

[14]
# SmPuMo, relaxed, DFT PBE
# - Polymorph energy (0 for the lowest one): 0 meV/atom
# - Energy relative to the elements: 0.620 eV per atom
# - Spin magnetization: 4.6 μB/f.u.
data_SmPuMo
_symmetry_space_group_name_H-M 'P 1'
_symmetry_Int_Tables_number 1
_cell_length_a 4.8505
_cell_length_b 4.8505
_cell_length_c 4.8505
_cell_angle_alpha 60.00
_cell_angle_beta 60.00
_cell_angle_gamma 60.00
loop_
_symmetry_equiv_pos_as_xyz
'x,y,z'
loop_
_atom_site_label
_atom_site_fract_x
_atom_site_fract_y
_atom_site_fract_z
Mo1 0.0000 0.0000 0.0000
Pu1 0.2500 0.2500 0.2500
Sm1 0.7500 0.7500 0.7500

[15]
# TbPuMo, relaxed, DFT PBE
# - Polymorph energy (0 for the lowest one): 0 meV/atom
# - Energy relative to the elements: 0.586 eV per atom
# - Spin magnetization: 4.6 μB/f.u.
data_TbPuMo
_symmetry_space_group_name_H-M 'P 1'
_symmetry_Int_Tables_number 1
_cell_length_a 4.7862
_cell_length_b 4.7862
_cell_length_c 4.7862
_cell_angle_alpha 60.00
_cell_angle_beta 60.00
_cell_angle_gamma 60.00
loop_
_symmetry_equiv_pos_as_xyz
'x,y,z'
loop_
_atom_site_label
_atom_site_fract_x
_atom_site_fract_y
_atom_site_fract_z
Mo1 0.0000 0.0000 0.0000
Pu1 0.2500 0.2500 0.2500
Tb1 0.7500 0.7500 0.7500

[16]
# PuTcMo, relaxed, DFT PBE
# - Polymorph energy (0 for the lowest one): 187 meV/atom
# - Energy relative to the elements: 1.134 eV per atom
# - Spin magnetization: 0.0 μB/f.u.
data_PuTcMo
_symmetry_space_group_name_H-M 'P 1'
_symmetry_Int_Tables_number 1
_cell_length_a 4.3171
_cell_length_b 4.3171
_cell_length_c 4.3171
_cell_angle_alpha 60.00
_cell_angle_beta 60.00
_cell_angle_gamma 60.00
loop_
_symmetry_equiv_pos_as_xyz
'x,y,z'
loop_
_atom_site_label
_atom_site_fract_x
_atom_site_fract_y
_atom_site_fract_z
Mo1 0.0000 0.0000 0.0000
Pu1 0.7500 0.7500 0.7500
Tc1 0.5000 0.5000 0.5000

[17]
# PuTcMo, relaxed, DFT PBE
# - Polymorph energy (0 for the lowest one): 0 meV/atom
# - Energy relative to the elements: 0.947 eV per atom
# - Spin magnetization: 0.2 μB/f.u.
data_PuTcMo
_symmetry_space_group_name_H-M 'P 1'
_symmetry_Int_Tables_number 1
_cell_length_a 4.3270
_cell_length_b 4.3270
_cell_length_c 4.3270
_cell_angle_alpha 60.00
_cell_angle_beta 60.00
_cell_angle_gamma 60.00
loop_
_symmetry_equiv_pos_as_xyz
'x,y,z'
loop_
_atom_site_label
_atom_site_fract_x
_atom_site_fract_y
_atom_site_fract_z
Mo1 0.0000 0.0000 0.0000
Pu1 0.2500 0.2500 0.2500
Tc1 0.7500 0.7500 0.7500

[18]
# PuTeMo, relaxed, DFT PBE
# - Polymorph energy (0 for the lowest one): 344 meV/atom
# - Spin magnetization: 3.4 μB/f.u.
data_PuTeMo
_symmetry_space_group_name_H-M 'P 1'
_symmetry_Int_Tables_number 1
_cell_length_a 4.6780
_cell_length_b 4.6780
_cell_length_c 4.6780
_cell_angle_alpha 60.00
_cell_angle_beta 60.00
_cell_angle_gamma 60.00
loop_
_symmetry_equiv_pos_as_xyz
'x,y,z'
loop_
_atom_site_label
_atom_site_fract_x
_atom_site_fract_y
_atom_site_fract_z
Mo1 0.2500 0.2500 0.2500
Pu1 0.0000 0.0000 0.0000
Te1 0.7500 0.7500 0.7500

[19]
# PuTeMo, relaxed, DFT PBE
# - Polymorph energy (0 for the lowest one): 0 meV/atom
# - Spin magnetization: 4.0 μB/f.u.
data_PuTeMo
_symmetry_space_group_name_H-M 'P 1'
_symmetry_Int_Tables_number 1
_cell_length_a 4.7289
_cell_length_b 4.7289
_cell_length_c 4.7289
_cell_angle_alpha 60.00
_cell_angle_beta 60.00
_cell_angle_gamma 60.00
loop_
_symmetry_equiv_pos_as_xyz
'x,y,z'
loop_
_atom_site_label
_atom_site_fract_x
_atom_site_fract_y
_atom_site_fract_z
Mo1 0.2500 0.2500 0.2500
Pu1 0.7500 0.7500 0.7500
Te1 0.0000 0.0000 0.0000

[20]
# PuTlMo, relaxed, DFT PBE
# - Polymorph energy (0 for the lowest one): 0 meV/atom
# - Spin magnetization: 3.8 μB/f.u.
data_PuTlMo
_symmetry_space_group_name_H-M 'P 1'
_symmetry_Int_Tables_number 1
_cell_length_a 4.6654
_cell_length_b 4.6654
_cell_length_c 4.6654
_cell_angle_alpha 60.00
_cell_angle_beta 60.00
_cell_angle_gamma 60.00
loop_
_symmetry_equiv_pos_as_xyz
'x,y,z'
loop_
_atom_site_label
_atom_site_fract_x
_atom_site_fract_y
_atom_site_fract_z
Mo1 0.0000 0.0000 0.0000
Pu1 0.2500 0.2500 0.2500
Tl1 0.7500 0.7500 0.7500